[1]
First-principles (PBE-GGA) data for an optimized crystal structure of Sm6AgHg8, as listed in Alexandria via LeMat-Bulk.

```
Sm6AgHg8
1.0
4.3866 2.5326 6.5149
-4.3866 2.5326 6.5149
0.0000 -5.0652 6.5149
Sm Ag Hg
6 1 8
direct
0.0106 0.4179 0.7596
0.2404 0.9894 0.5821
0.4179 0.7596 0.0106
0.5821 0.2404 0.9894
0.7596 0.0106 0.4179
0.9894 0.5821 0.2404
0.0000 0.0000 0.0000
0.1686 0.7469 0.4307
0.2531 0.5693 0.8314
0.3595 0.3595 0.3595
0.4307 0.1686 0.7469
0.5693 0.8314 0.2531
0.6405 0.6405 0.6405
0.7469 0.4307 0.1686
0.8314 0.2531 0.5693
```

Total moment: 0.00 Bohr magnetons per cell
Energy of formation from the pure elements: -0.30 eV/atom
E_tot: -2.534 eV per atom

---

[2]
First-principles (PBE-GGA) data for an optimized crystal structure of Li2CeReN4, as listed in Alexandria via LeMat-Bulk.

```
Li2CeReN4
1.0
-2.7030 2.7030 3.4030
2.7030 -2.7030 3.4030
2.7030 2.7030 -3.4030
Li Ce Re N
2 1 1 4
direct
0.2500 0.7500 0.5000
0.7500 0.2500 0.5000
0.0000 0.0000 0.0000
0.5000 0.5000 0.0000
0.1485 0.1485 0.6025
0.4540 0.8515 0.0000
0.5460 0.5460 0.3975
0.8515 0.4540 0.0000
```

Total moment: 1.02 Bohr magnetons per cell
Energy relative to the elements, uncorrected: -0.740 eV per atom
E_tot: -7.679 eV per atom

---

[3]
First-principles (PBE-GGA) data for an optimized crystal structure of SiTc2Te, as listed in Alexandria via LeMat-Bulk.

```
SiTc2Te
1.0
1.6381 -2.5068 0.0000
1.6381 2.5068 0.0000
0.0000 0.0000 8.2244
Si Tc Te
1 2 1
direct
0.0000 0.0000 0.0000
0.5000 0.5000 0.2072
0.5000 0.5000 0.7928
0.0000 0.0000 0.5000
```

Total moment: 0.00 Bohr magnetons per cell
Distance to the lowest polymorph of the same formula: 402 meV per atom
Energy relative to the elements, uncorrected: 0.397 eV per atom
E_tot: -6.927 eV per atom